1:
Material: NaCd2Au2
Method: DFT, PBEsol
State: relaxed

Unit cell a=3.042 b=8.112 c=8.112 alpha=90.00 beta=90.00 gamma=90.00
Element x y z (fractional)
Au (0.000, 0.366, 0.866)
Cd (0.500, 0.664, 0.836)
Na (0.000, 0.500, 0.500)
Au (0.000, 0.134, 0.366)
Cd (0.500, 0.164, 0.664)
Cd (0.500, 0.836, 0.336)
Cd (0.500, 0.336, 0.164)
Na (0.000, 0.000, 0.000)
Au (0.000, 0.866, 0.634)
Au (0.000, 0.634, 0.134)

Values from the calculation:
- volume (A^3/atom) = 20.02
- SG = P4/mbm, No. 127


2:
Material: NaCd2Au2
Method: DFT, PBEsol
State: relaxed

Unit cell a=4.187 b=4.187 c=6.997 alpha=107.41 beta=107.41 gamma=90.00
Element x y z (fractional)
Au (0.397, 0.397, 0.793)
Au (0.603, 0.603, 0.207)
Na (0.000, 0.000, 0.000)
Cd (0.750, 0.250, 0.500)
Cd (0.250, 0.750, 0.500)

Values from the calculation:
- volume (A^3/atom) = 22.23
- SG = I4/mmm, No. 139


Relative energies with respect to the most stable structure, expressed in meV/atom: 1 0; 2 64.


1:
Material: Na2CdAu2
Method: DFT, PBEsol
State: relaxed

Unit cell a=4.306 b=7.156 c=7.156 alpha=90.00 beta=90.00 gamma=90.00
Element x y z (fractional)
Au (0.000, 0.135, 0.365)
Au (0.000, 0.635, 0.135)
Na (0.500, 0.666, 0.834)
Au (0.000, 0.365, 0.865)
Na (0.500, 0.834, 0.334)
Na (0.500, 0.334, 0.166)
Au (0.000, 0.865, 0.635)
Cd (0.000, 0.500, 0.500)
Na (0.500, 0.166, 0.666)
Cd (0.000, 0.000, 0.000)

Values from the calculation:
- volume (A^3/atom) = 22.05
- SG = P4/mbm, No. 127


2:
Material: Na2CdAu2
Method: DFT, PBEsol
State: relaxed

Unit cell a=3.973 b=3.973 c=7.406 alpha=105.56 beta=105.56 gamma=90.00
Element x y z (fractional)
Au (0.596, 0.596, 0.192)
Au (0.404, 0.404, 0.808)
Cd (0.000, 0.000, 0.000)
Na (0.250, 0.750, 0.500)
Na (0.750, 0.250, 0.500)

Values from the calculation:
- volume (A^3/atom) = 21.63
- SG = I4/mmm, No. 139


Relative energies with respect to the most stable structure, expressed in meV/atom: 1 0; 2 216.


1:
Material: Cd2OsAu
Method: DFT, PBEsol
State: relaxed

Unit cell a=2.840 b=2.840 c=8.448 alpha=90.00 beta=90.00 gamma=90.00
Element x y z (fractional)
Au (0.500, 0.500, 0.500)
Cd (0.000, 0.000, 0.759)
Os (0.500, 0.500, 0.000)
Cd (0.000, 0.000, 0.241)

Values from the calculation:
- volume (A^3/atom) = 17.04
- SG = P4/mmm, No. 123


2:
Material: Cd2OsAu
Method: DFT, PBEsol
State: relaxed

Unit cell a=2.766 b=4.266 c=5.789 alpha=90.00 beta=90.00 gamma=90.00
Element x y z (fractional)
Cd (0.000, 0.000, 0.990)
Cd (0.500, 0.500, 0.267)
Au (0.500, 0.500, 0.749)
Os (0.000, 0.000, 0.493)

Values from the calculation:
- volume (A^3/atom) = 17.07
- SG = Pmm2, No. 25


3:
Material: Cd2OsAu
Method: DFT, PBEsol
State: relaxed

Unit cell a=2.883 b=2.883 c=9.580 alpha=81.34 beta=81.34 gamma=60.00
Element x y z (fractional)
Cd (0.248, 0.248, 0.256)
Cd (0.752, 0.752, 0.744)
Au (0.000, 0.000, 0.000)
Os (0.500, 0.500, 0.500)

Values from the calculation:
- volume (A^3/atom) = 16.98
- SG = R-3m, No. 166


Relative energies with respect to the most stable structure, expressed in meV/atom: 1 31; 2 112; 3 0.


1:
Material: CdPAu2
Method: DFT, PBEsol
State: relaxed

Unit cell a=3.742 b=4.333 c=5.141 alpha=114.92 beta=111.34 gamma=90.00
Element x y z (fractional)
P (0.269, 0.769, 0.538)
Cd (0.508, 0.508, 0.015)
Au (0.983, 0.983, 0.967)
Au (0.740, 0.240, 0.480)

Values from the calculation:
- volume (A^3/atom) = 17.31
- SG = Imm2, No. 44


2:
Material: CdPAu2
Method: DFT, PBEsol
State: relaxed

Unit cell a=2.867 b=4.201 c=5.835 alpha=90.00 beta=90.00 gamma=90.00
Element x y z (fractional)
Au (0.000, 0.000, 0.751)
P (0.000, 0.500, 0.500)
Cd (0.500, 0.500, 0.000)
Au (0.000, 0.000, 0.249)

Values from the calculation:
- volume (A^3/atom) = 17.57
- SG = Pmmm, No. 47


Relative energies with respect to the most stable structure, expressed in meV/atom: 1 61; 2 0.


1:
Material: CdPtAu
Method: DFT, PBEsol
State: relaxed

Unit cell a=2.918 b=3.987 c=4.990 alpha=113.55 beta=107.00 gamma=90.00
Element x y z (fractional)
Pt (0.333, 0.333, 0.665)
Cd (0.669, 0.669, 0.338)
Au (0.998, 0.998, 0.997)

Values from the calculation:
- volume (A^3/atom) = 16.81
- SG = Imm2, No. 44


2:
Material: CdPtAu
Method: DFT, PBEsol
State: relaxed

Unit cell a=2.924 b=2.924 c=6.247 alpha=103.54 beta=103.54 gamma=90.00
Element x y z (fractional)
Pt (0.333, 0.333, 0.665)
Cd (0.671, 0.671, 0.341)
Au (0.997, 0.997, 0.994)

Values from the calculation:
- volume (A^3/atom) = 16.80
- SG = I4mm, No. 107


Relative energies with respect to the most stable structure, expressed in meV/atom: 1 0; 2 6.


1:
Material: Rb2Cd2Au
Method: DFT, PBEsol
State: relaxed

Unit cell a=5.907 b=7.351 c=7.351 alpha=90.00 beta=90.00 gamma=90.00
Element x y z (fractional)
Rb (0.500, 0.317, 0.183)
Cd (0.000, 0.859, 0.641)
Rb (0.500, 0.817, 0.317)
Rb (0.500, 0.683, 0.817)
Au (0.000, 0.500, 0.500)
Cd (0.000, 0.141, 0.359)
Cd (0.000, 0.359, 0.859)
Rb (0.500, 0.183, 0.683)
Cd (0.000, 0.641, 0.141)
Au (0.000, 0.000, 0.000)

Values from the calculation:
- volume (A^3/atom) = 31.92
- SG = P4/mbm, No. 127


2:
Material: Rb2Cd2Au
Method: DFT, PBEsol
State: relaxed

Unit cell a=6.306 b=6.306 c=6.306 alpha=78.91 beta=66.18 gamma=113.82
Element x y z (fractional)
Au (0.000, 0.000, 0.000)
Rb (0.500, 0.250, 0.250)
Cd (0.000, 0.669, 0.331)
Cd (0.000, 0.331, 0.669)
Rb (0.500, 0.750, 0.750)

Values from the calculation:
- volume (A^3/atom) = 38.00
- SG = I4/mmm, No. 139


Relative energies with respect to the most stable structure, expressed in meV/atom: 1 0; 2 93.


1:
Material: CdReAu
Method: DFT, PBEsol
State: relaxed

Unit cell a=2.826 b=2.826 c=7.144 alpha=90.00 beta=90.00 gamma=120.00
Element x y z (fractional)
Au (0.000, 0.000, 0.009)
Re (0.667, 0.333, 0.327)
Cd (0.333, 0.667, 0.664)

Values from the calculation:
- volume (A^3/atom) = 16.47
- SG = P3m1, No. 156


2:
Material: CdReAu
Method: DFT, PBEsol
State: relaxed

Unit cell a=4.373 b=4.373 c=4.373 alpha=60.00 beta=60.00 gamma=60.00
Element x y z (fractional)
Re (0.000, 0.000, 0.000)
Cd (0.250, 0.250, 0.250)
Au (0.500, 0.500, 0.500)

Values from the calculation:
- volume (A^3/atom) = 19.71
- SG = F-43m, No. 216


Relative energies with respect to the most stable structure, expressed in meV/atom: 1 0; 2 1068.


1:
Material: SrCdAu3
Method: DFT, PBEsol
State: relaxed

Unit cell a=5.552 b=5.552 c=5.552 alpha=90.00 beta=90.00 gamma=90.00
Element x y z (fractional)
Au (0.000, 0.500, 0.000)
Sr (0.000, 0.000, 0.000)
Au (0.500, 0.000, 0.000)
Cd (0.500, 0.500, 0.500)
Au (0.000, 0.000, 0.500)

Values from the calculation:
- volume (A^3/atom) = 34.22
- SG = Pm-3m, No. 221


2:
Material: SrCdAu3
Method: DFT, PBEsol
State: relaxed

Unit cell a=5.115 b=5.115 c=5.115 alpha=90.00 beta=90.00 gamma=90.00
Element x y z (fractional)
Au (0.000, 0.000, 0.500)
Sr (0.500, 0.500, 0.500)
Au (0.500, 0.000, 0.000)
Cd (0.000, 0.000, 0.000)
Au (0.000, 0.500, 0.000)

Values from the calculation:
- volume (A^3/atom) = 26.76
- SG = Pm-3m, No. 221


Relative energies with respect to the most stable structure, expressed in meV/atom: 1 825; 2 0.


1:
Material: TaCd2Au
Method: DFT, PBEsol
State: relaxed

Unit cell a=2.854 b=4.685 c=5.521 alpha=90.00 beta=97.54 gamma=90.00
Element x y z (fractional)
Ta (0.500, 0.500, 0.000)
Cd (0.152, 0.000, 0.249)
Cd (0.848, 0.000, 0.751)
Au (0.000, 0.500, 0.500)

Values from the calculation:
- volume (A^3/atom) = 18.29
- SG = P2/m, No. 10


2:
Material: TaCd2Au
Method: DFT, PBEsol
State: relaxed

Unit cell a=4.689 b=4.689 c=4.689 alpha=60.00 beta=60.00 gamma=60.00
Element x y z (fractional)
Cd (0.250, 0.250, 0.250)
Au (0.000, 0.000, 0.000)
Ta (0.500, 0.500, 0.500)
Cd (0.750, 0.750, 0.750)

Values from the calculation:
- volume (A^3/atom) = 18.22
- SG = Fm-3m, No. 225


Relative energies with respect to the most stable structure, expressed in meV/atom: 1 0; 2 226.


1:
Material: TaCd2Au
Method: DFT, PBEsol
State: relaxed

Unit cell a=2.867 b=4.414 c=5.988 alpha=90.00 beta=103.74 gamma=90.00
Element x y z (fractional)
Cd (0.193, 0.000, 0.013)
Cd (0.807, 0.500, 0.238)
Ta (0.454, 0.000, 0.531)
Au (0.047, 0.500, 0.719)

Values from the calculation:
- volume (A^3/atom) = 18.40
- SG = Pm, No. 6


2:
Material: TaCd2Au
Method: DFT, PBEsol
State: relaxed

Unit cell a=2.947 b=2.947 c=9.965 alpha=81.50 beta=81.50 gamma=60.00
Element x y z (fractional)
Ta (0.504, 0.504, 0.488)
Au (0.247, 0.247, 0.258)
Cd (0.997, 0.997, 0.010)
Cd (0.752, 0.752, 0.744)

Values from the calculation:
- volume (A^3/atom) = 18.46
- SG = R3m, No. 160


Relative energies with respect to the most stable structure, expressed in meV/atom: 1 30; 2 0.


1:
Material: Tl2CdAu
Method: DFT, PBEsol
State: relaxed

Unit cell a=3.215 b=5.426 c=6.274 alpha=115.62 beta=104.85 gamma=90.00
Element x y z (fractional)
Cd (0.222, 0.722, 0.443)
Au (0.510, 0.510, 0.019)
Tl (0.777, 0.277, 0.555)
Tl (0.991, 0.991, 0.982)

Values from the calculation:
- volume (A^3/atom) = 23.66
- SG = Imm2, No. 44


2:
Material: Tl2CdAu
Method: DFT, PBEsol
State: relaxed

Unit cell a=3.370 b=3.370 c=9.822 alpha=80.12 beta=80.12 gamma=60.00
Element x y z (fractional)
Tl (0.995, 0.995, 0.014)
Au (0.504, 0.504, 0.488)
Cd (0.241, 0.241, 0.278)
Tl (0.760, 0.760, 0.719)

Values from the calculation:
- volume (A^3/atom) = 23.67
- SG = R3m, No. 160


3:
Material: Tl2CdAu
Method: DFT, PBEsol
State: relaxed

Unit cell a=3.225 b=4.566 c=7.360 alpha=108.07 beta=102.66 gamma=90.00
Element x y z (fractional)
Cd (0.000, 0.500, 0.000)
Tl (0.186, 0.186, 0.373)
Au (0.500, 0.000, 0.000)
Tl (0.814, 0.814, 0.627)

Values from the calculation:
- volume (A^3/atom) = 25.06
- SG = Immm, No. 71


4:
Material: Tl2CdAu
Method: DFT, PBEsol
State: relaxed

Unit cell a=3.744 b=4.593 c=5.807 alpha=90.00 beta=108.66 gamma=90.00
Element x y z (fractional)
Cd (0.448, 0.500, 0.773)
Au (0.299, 0.000, 0.473)
Tl (0.031, 0.000, 0.936)
Tl (0.722, 0.500, 0.318)

Values from the calculation:
- volume (A^3/atom) = 23.65
- SG = Pm, No. 6


Relative energies with respect to the most stable structure, expressed in meV/atom: 1 21; 2 26; 3 0; 4 6.


1:
Material: Cd2WAu
Method: DFT, PBEsol
State: relaxed

Unit cell a=2.883 b=4.971 c=4.971 alpha=90.00 beta=90.00 gamma=90.00
Element x y z (fractional)
Cd (0.000, 0.000, 0.500)
W (0.500, 0.500, 0.500)
Au (0.500, 0.000, 0.000)
Cd (0.000, 0.500, 0.000)

Values from the calculation:
- volume (A^3/atom) = 17.81
- SG = P4/mmm, No. 123


2:
Material: Cd2WAu
Method: DFT, PBEsol
State: relaxed

Unit cell a=2.956 b=4.879 c=4.910 alpha=90.00 beta=90.00 gamma=90.00
Element x y z (fractional)
W (0.500, 0.500, 0.000)
Cd (0.000, 0.000, 0.000)
Cd (0.500, 0.000, 0.500)
Au (0.000, 0.500, 0.500)

Values from the calculation:
- volume (A^3/atom) = 17.71
- SG = Pmmm, No. 47


3:
Material: Cd2WAu
Method: DFT, PBEsol
State: relaxed

Unit cell a=4.153 b=4.153 c=5.041 alpha=114.33 beta=114.33 gamma=90.00
Element x y z (fractional)
Au (0.250, 0.750, 0.500)
W (0.500, 0.500, 0.000)
Cd (0.000, 0.000, 0.000)
Cd (0.750, 0.250, 0.500)

Values from the calculation:
- volume (A^3/atom) = 17.67
- SG = I-4m2, No. 119


Relative energies with respect to the most stable structure, expressed in meV/atom: 1 47; 2 0; 3 134.